[1]
{
  "formula": "Cs2NaAgCl5",
  "functional": "PBE",
  "state": "relaxed",
  "cell": [[4.447, 0.000, 0.000], [-2.224, 9.446, 0.000], [0.000, 0.000, 14.488]],
  "species": ["Cs", "Cs", "Cs", "Cs", "Na", "Na", "Ag", "Ag", "Cl", "Cl", "Cl", "Cl", "Cl", "Cl", "Cl", "Cl", "Cl", "Cl"],
  "frac_coords": [[0.846, 0.693, 0.808], [0.104, 0.209, 0.689], [0.154, 0.307, 0.308], [0.896, 0.791, 0.189], [0.815, 0.630, 0.531], [0.185, 0.370, 0.031], [0.522, 0.044, 0.946], [0.478, 0.956, 0.446], [0.395, 0.789, 0.992], [0.651, 0.302, 0.896], [0.483, 0.967, 0.778], [0.280, 0.560, 0.640], [0.957, 0.914, 0.543], [0.605, 0.211, 0.492], [0.349, 0.698, 0.396], [0.517, 0.033, 0.278], [0.720, 0.440, 0.140], [0.043, 0.086, 0.043]],
  "dos_at_fermi_per_ev_atom": 0.279,
  "volume_a3_per_atom": 33.8,
  "raw_formation_energy_ev_per_atom": -1.373
}



[2]
{
  "formula": "Cs2NaAg2Cl6",
  "functional": "PBE",
  "state": "relaxed",
  "cell": [[7.334, 0.000, 0.000], [-3.667, 6.959, 0.078], [0.000, -3.920, 7.119]],
  "species": ["Cs", "Cs", "Na", "Ag", "Ag", "Cl", "Cl", "Cl", "Cl", "Cl", "Cl"],
  "frac_coords": [[0.726, 0.452, 0.204], [0.274, 0.548, 0.796], [0.500, 0.000, 0.500], [0.932, 0.864, 0.774], [0.068, 0.136, 0.226], [0.736, 0.472, 0.653], [0.208, 0.901, 0.201], [0.307, 0.099, 0.799], [0.792, 0.099, 0.799], [0.693, 0.901, 0.201], [0.264, 0.528, 0.347]],
  "dos_at_fermi_per_ev_atom": 0.695,
  "volume_a3_per_atom": 33.2,
  "raw_formation_energy_ev_per_atom": -1.194
}



[3]
{
  "formula": "CsNbAg2Cl8",
  "functional": "PBE",
  "state": "relaxed",
  "cell": [[-2.777, -0.264, 5.689], [5.248, -4.985, 2.485], [7.750, 3.388, 5.227]],
  "species": ["Cs", "Nb", "Ag", "Ag", "Cl", "Cl", "Cl", "Cl", "Cl", "Cl", "Cl", "Cl"],
  "frac_coords": [[0.000, 0.000, 0.500], [0.000, 0.000, 0.000], [0.499, 0.358, 0.677], [0.501, 0.642, 0.323], [0.095, 0.756, 0.249], [0.688, 0.797, 0.043], [0.810, 0.171, 0.116], [0.905, 0.244, 0.751], [0.312, 0.203, 0.957], [0.190, 0.829, 0.884], [0.505, 0.741, 0.534], [0.495, 0.259, 0.466]],
  "volume_a3_per_atom": 34.9,
  "raw_formation_energy_ev_per_atom": -1.100
}



Raw total energy per entry: -54.941; -32.941; -44.597 eV for the cell shown